# Ce2PmCd2Sn2

A relaxed Ce2PmCd2Sn2 crystal (GGA-PBE, Alexandria).

The energy relative to the elements comes out at -0.29 eV/atom. For the density of states at the Fermi level, the calculation gives 1.773 states/eV/atom. As for the crystal system: trigonal. The volume comes out at 26.66 A^3/atom.

The structure belongs to space group R-3m (No. 166, hexagonal axes); the cell edges are 4.7898, 4.7898 and 28.1764 Å and the angles 90.00°, 90.00° and 120.00°. The inequivalent atoms are Ce at (0.0000, 0.0000, 0.1462), Pm at (0.0000, 0.0000, 0.0000), Cd at (0.0000, 0.0000, 0.4220) and Sn at (0.0000, 0.0000, 0.2704).

# TbCePmCd

A relaxed TbCePmCd crystal (GGA-PBE, Alexandria).

The energy relative to the elements comes out at 0.03 eV/atom. For the density of states at the Fermi level, the calculation gives 1.924 states/eV/atom. As for the crystal system: cubic. The volume comes out at 29.30 A^3/atom.

The structure belongs to space group F-43m (No. 216); the cell edges are 7.769, 7.769 and 7.769 Å and the angles 90.00°, 90.00° and 90.00°. The inequivalent atoms are Tb at (0.000, 0.000, 0.000), Ce at (0.000, 0.000, 0.500), Pm at (0.250, 0.250, 0.750) and Cd at (0.250, 0.250, 0.250).

# CePmThCd

A relaxed CePmThCd crystal (GGA-PBE, Alexandria).

The energy relative to the elements comes out at 0.08 eV/atom. For the density of states at the Fermi level, the calculation gives 2.047 states/eV/atom. As for the crystal system: cubic. The volume comes out at 28.52 A^3/atom.

The structure belongs to space group F-43m (No. 216); the cell edges are 7.699, 7.699 and 7.699 Å and the angles 90.00°, 90.00° and 90.00°. The inequivalent atoms are Ce at (0.000, 0.000, 0.000), Pm at (0.250, 0.250, 0.750), Th at (0.250, 0.250, 0.250) and Cd at (0.000, 0.000, 0.500).